(1)
An optimized crystal structure of MnReAu2. Source: Alexandria, functional GGA-PBE.

- ΔH_f (0 K): 1.4 eV per formula unit
- Energy above the lowest structure with this stoichiometry: 0.138 eV per atom

```
data_MnReAu2
_chemical_formula_sum 'Mn2 Re2 Au4'
_symmetry_space_group_name_H-M 'C 1 m 1'
_symmetry_Int_Tables_number 8
_cell_length_a 9.2691
_cell_length_b 2.8028
_cell_length_c 5.0094
_cell_angle_alpha 90.00
_cell_angle_beta 99.70
_cell_angle_gamma 90.00
loop_
_symmetry_equiv_pos_as_xyz
'x,y,z'
'x,-y,z'
'x+1/2,y+1/2,z'
'x+1/2,-y+1/2,z'
loop_
_atom_site_label
_atom_site_type_symbol
_atom_site_fract_x
_atom_site_fract_y
_atom_site_fract_z
_atom_site_occupancy
Mn1 Mn 0.0000 0.0000 0.0000 1
Re1 Re 0.2624 0.0000 0.7808 1
Au1 Au 0.0099 0.5000 0.5257 1
Au2 Au 0.2500 0.5000 0.2615 1
```


(2)
An optimized crystal structure of Mn2ReAu. Source: Alexandria, functional GGA-PBE.

- ΔH_f (0 K): 2.9 eV per formula unit
- Energy above the lowest structure with this stoichiometry: 0.596 eV per atom

```
data_Mn2ReAu
_chemical_formula_sum 'Mn8 Re4 Au4'
_symmetry_space_group_name_H-M 'I -4 2 d'
_symmetry_Int_Tables_number 122
_symmetry_space_group_name_Hall 'I -4 2bw'
_cell_length_a 6.8390
_cell_length_b 6.8390
_cell_length_c 5.4248
_cell_angle_alpha 90.00
_cell_angle_beta 90.00
_cell_angle_gamma 90.00
loop_
_atom_site_label
_atom_site_type_symbol
_atom_site_fract_x
_atom_site_fract_y
_atom_site_fract_z
_atom_site_occupancy
Mn1 Mn 0.2228 0.7500 0.1250 1
Re1 Re 0.0000 0.0000 0.0000 1
Au1 Au 0.0000 0.0000 0.5000 1
```


(3)
An optimized crystal structure of Mn2ReAu. Source: Alexandria, functional GGA-PBE.

- ΔH_f (0 K): 1.9 eV per formula unit
- Energy above the lowest structure with this stoichiometry: 0.339 eV per atom

```
data_Mn2ReAu
_chemical_formula_sum 'Mn8 Re4 Au4'
_symmetry_space_group_name_H-M 'F -4 3 m'
_symmetry_Int_Tables_number 216
_symmetry_space_group_name_Hall 'F -4 2 3'
_cell_length_a 6.1931
_cell_length_b 6.1931
_cell_length_c 6.1931
_cell_angle_alpha 90.00
_cell_angle_beta 90.00
_cell_angle_gamma 90.00
loop_
_atom_site_label
_atom_site_type_symbol
_atom_site_fract_x
_atom_site_fract_y
_atom_site_fract_z
_atom_site_occupancy
Mn1 Mn 0.0000 0.0000 0.0000 1
Mn2 Mn 0.2500 0.2500 0.2500 1
Re1 Re 0.2500 0.2500 0.7500 1
Au1 Au 0.0000 0.0000 0.5000 1
```


(4)
An optimized crystal structure of MnRe2Au. Source: Alexandria, functional GGA-PBE.

- ΔH_f (0 K): 0.9 eV per formula unit
- Energy above the lowest structure with this stoichiometry: 0.017 eV per atom

```
data_MnRe2Au
_chemical_formula_sum 'Mn1 Re2 Au1'
_symmetry_space_group_name_H-M 'P 4 m m'
_symmetry_Int_Tables_number 99
_cell_length_a 2.8222
_cell_length_b 2.8222
_cell_length_c 7.7547
_cell_angle_alpha 90.00
_cell_angle_beta 90.00
_cell_angle_gamma 90.00
loop_
_symmetry_equiv_pos_as_xyz
'x,y,z'
'-y,x,z'
'-x,-y,z'
'y,-x,z'
'-x,y,z'
'y,x,z'
'x,-y,z'
'-y,-x,z'
loop_
_atom_site_label
_atom_site_type_symbol
_atom_site_fract_x
_atom_site_fract_y
_atom_site_fract_z
_atom_site_occupancy
Mn1 Mn 0.0000 0.0000 0.0000 1
Re1 Re 0.0000 0.0000 0.4627 1
Re2 Re 0.5000 0.5000 0.2345 1
Au1 Au 0.5000 0.5000 0.7407 1
```


(5)
An optimized crystal structure of MnReAu2. Source: Alexandria, functional GGA-PBE.

- ΔH_f (0 K): 3.2 eV per formula unit
- Energy above the lowest structure with this stoichiometry: 0.612 eV per atom

```
data_MnReAu2
_chemical_formula_sum 'Mn4 Re4 Au8'
_symmetry_space_group_name_H-M 'F m -3 m'
_symmetry_Int_Tables_number 225
_symmetry_space_group_name_Hall '-F 4 2 3'
_cell_length_a 6.2836
_cell_length_b 6.2836
_cell_length_c 6.2836
_cell_angle_alpha 90.00
_cell_angle_beta 90.00
_cell_angle_gamma 90.00
loop_
_atom_site_label
_atom_site_type_symbol
_atom_site_fract_x
_atom_site_fract_y
_atom_site_fract_z
_atom_site_occupancy
Mn1 Mn 0.0000 0.0000 0.0000 1
Re1 Re 0.0000 0.0000 0.5000 1
Au1 Au 0.2500 0.2500 0.2500 1
```


(6)
An optimized crystal structure of MnReAu2. Source: Alexandria, functional GGA-PBE.

- ΔH_f (0 K): 0.8 eV per formula unit
- Energy above the lowest structure with this stoichiometry: 0.000 eV per atom

```
data_MnReAu2
_chemical_formula_sum 'Mn1 Re1 Au2'
_symmetry_space_group_name_H-M 'P 4 m m'
_symmetry_Int_Tables_number 99
_cell_length_a 2.8253
_cell_length_b 2.8253
_cell_length_c 7.9874
_cell_angle_alpha 90.00
_cell_angle_beta 90.00
_cell_angle_gamma 90.00
loop_
_symmetry_equiv_pos_as_xyz
'x,y,z'
'-y,x,z'
'-x,-y,z'
'y,-x,z'
'-x,y,z'
'y,x,z'
'x,-y,z'
'-y,-x,z'
loop_
_atom_site_label
_atom_site_type_symbol
_atom_site_fract_x
_atom_site_fract_y
_atom_site_fract_z
_atom_site_occupancy
Mn1 Mn 0.0000 0.0000 0.0000 1
Re1 Re 0.5000 0.5000 0.2019 1
Au1 Au 0.0000 0.0000 0.4677 1
Au2 Au 0.5000 0.5000 0.7523 1
```